The following is a DFT calculation (GGA-PBE) of a relaxed Na2CuRhF6 crystal.

Summary:
Raw formation energy   -1.9567 eV per atom

```
Na2CuRhF6
1.0
2.806 1.620 4.782
-2.806 1.620 4.782
0.000 -3.240 4.782
Na Cu Rh F
2 1 1 6
Direct
0.000 0.000 0.000
0.496 0.496 0.496
0.216 0.216 0.216
0.713 0.713 0.713
0.061 0.455 0.858
0.363 0.946 0.570
0.455 0.858 0.061
0.570 0.363 0.946
0.858 0.062 0.455
0.946 0.570 0.363
```